[1]
SrZrMo2 | the Alexandria database | meta-GGA SCAN | single point on PBEsol structure; total energy = -118.17 eV per cell; energy relative to the elements = 1.144 eV/atom; spin magnetization = 0.0 μB per cell; calculated density = 7.78 g cm⁻³
1.0
4.029 0.000 0.000
0.000 4.029 0.000
-2.014 -2.014 4.874
Mo Sr Zr
2 1 1
Direct
0.750 0.250 0.500 Mo
0.250 0.750 0.500 Mo
0.500 0.500 0.000 Sr
0.000 0.000 0.000 Zr

[2]
Sr2ZrMo | the Alexandria database | meta-GGA SCAN | single point on PBEsol structure; total energy = -105.80 eV per cell; energy relative to the elements = 1.085 eV/atom; spin magnetization = 1.2 μB per cell; calculated density = 5.90 g cm⁻³
1.0
3.025 0.008 0.000
-0.458 2.990 0.000
0.000 0.000 11.266
Mo Sr Zr
1 2 1
Direct
0.500 0.500 0.000 Mo
0.000 0.000 0.225 Sr
0.000 0.000 0.775 Sr
0.500 0.500 0.500 Zr

[3]
Sr2ZrMo | the Alexandria database | meta-GGA SCAN | single point on PBEsol structure; total energy = -105.75 eV per cell; energy relative to the elements = 1.097 eV/atom; spin magnetization = 0.0 μB per cell; calculated density = 5.98 g cm⁻³
1.0
3.058 0.000 0.000
0.000 5.446 0.000
0.000 0.000 6.038
Mo Sr Zr
1 2 1
Direct
0.500 0.500 0.500 Mo
0.000 0.000 0.742 Sr
0.000 0.000 0.258 Sr
0.500 0.500 0.000 Zr

[4]
SrZrMo2 | the Alexandria database | meta-GGA SCAN | single point on PBEsol structure; total energy = -118.74 eV per cell; energy relative to the elements = 1.000 eV/atom; spin magnetization = 0.0 μB per cell; calculated density = 7.88 g cm⁻³
1.0
-0.394 2.648 -0.792
1.319 -2.265 -5.125
-5.233 -1.064 2.150
Mo Sr Zr
2 1 1
Direct
0.000 0.500 0.000 Mo
0.000 0.000 0.500 Mo
0.500 0.000 0.000 Sr
0.500 0.500 0.500 Zr